# 1
# Ce2P

A relaxed Ce2P crystal (GGA-PBE, Alexandria).

Values from the calculation:
As for the energy: -79.69 eV for the cell shown. The formation energy is -2.644 eV per formula unit.

Unit cell a=4.111 b=8.228 c=8.450 alpha=90.01 beta=90.00 gamma=90.00
Site moments in Bohr magnetons follow the coordinates.
Element x y z (fractional)
P 0.750 0.125 0.728  -0.04
P 0.250 0.875 0.272  -0.04
P 0.750 0.625 0.728  -0.04
P 0.250 0.375 0.272  -0.04
Ce 0.750 0.125 0.367  0.96
Ce 0.750 0.876 0.999  0.45
Ce 0.250 0.375 0.633  0.96
Ce 0.750 0.376 0.999  0.45
Ce 0.250 0.875 0.633  0.96
Ce 0.250 0.124 0.001  0.45
Ce 0.750 0.625 0.367  0.96
Ce 0.250 0.624 0.001  0.45

=====

# 2
# Nd2HPd4

A relaxed Nd2HPd4 crystal (GGA-PBE, Alexandria).

Values from the calculation:
As for the energy: -37.17 eV for the cell shown.

Unit cell a=3.826 b=3.826 c=9.648 alpha=78.57 beta=78.57 gamma=90.00
Element x y z (fractional)
H 0.000 0.000 0.000
Pd 0.792 0.792 0.415
Pd 0.500 0.000 0.000
Pd 0.208 0.208 0.585
Pd 0.000 0.500 0.000
Nd 0.368 0.368 0.264
Nd 0.632 0.632 0.736

=====

# 3
# NpGaCoNi

A relaxed NpGaCoNi crystal (GGA-PBE, Alexandria).

Values from the calculation:
As for the energy: -29.22 eV for the cell shown. The formation energy is -0.362 eV per formula unit.

Unit cell a=4.426 b=4.426 c=4.426 alpha=60.00 beta=60.00 gamma=60.00
Site moments in Bohr magnetons follow the coordinates.
Element x y z (fractional)
Np 0.750 0.750 0.750  3.24
Ni 0.500 0.500 0.500  -0.21
Co 0.000 0.000 0.000  -0.78
Ga 0.250 0.250 0.250  0.00

=====

# 4
# PuCd5Hg4Pb

A relaxed PuCd5Hg4Pb crystal (GGA-PBE, Alexandria).

Values from the calculation:
As for the energy: -23.27 eV for the cell shown. The formation energy is 0.556 eV per formula unit.

Unit cell a=5.492 b=5.492 c=9.891 alpha=90.00 beta=90.00 gamma=90.00
Site moments in Bohr magnetons follow the coordinates.
Element x y z (fractional)
Pu 0.500 0.500 0.500  5.55
Hg 0.500 0.000 0.000  0.00
Hg 0.500 0.500 0.174  0.00
Hg 0.000 0.500 0.000  0.00
Hg 0.500 0.500 0.826  0.00
Cd 0.500 0.000 0.692  0.00
Cd 0.500 0.000 0.308  0.00
Cd 0.000 0.500 0.692  0.00
Cd 0.000 0.000 0.000  0.00
Cd 0.000 0.500 0.308  0.00
Pb 0.000 0.000 0.500  -0.03

=====

no.,total magnetization (μB/f.u.)
1,1.95
2,0.00
3,2.37
4,5.74